No. 1
BeTePtO (PBE, optimized geometry); polymorph energy (0 for the lowest one) = 0.6433 eV/atom
1.0
3.663 -3.653 0.000
3.663 3.653 0.000
-1.080 0.000 5.683
Be Te Pt O
2 2 2 2
direct
0.246 0.246 0.013
0.754 0.754 0.987
0.249 0.751 0.500
0.751 0.249 0.500
0.241 0.241 0.378
0.759 0.759 0.622
0.256 0.256 0.772
0.744 0.744 0.228

---

No. 2
BeTePtO (PBE, optimized geometry); polymorph energy (0 for the lowest one) = 0.6430 eV/atom
1.0
5.084 0.000 0.000
0.000 5.084 0.000
0.000 0.000 5.677
Be Te Pt O
2 2 2 2
direct
0.250 0.250 0.244
0.750 0.750 0.756
0.250 0.750 0.000
0.750 0.250 0.000
0.250 0.250 0.847
0.750 0.750 0.153
0.250 0.250 0.488
0.750 0.750 0.512

---

No. 3
BeTePtO (PBE, optimized geometry); polymorph energy (0 for the lowest one) = 0.5716 eV/atom
1.0
6.439 0.000 0.000
0.000 8.005 0.000
0.000 0.000 5.259
Be Te Pt O
4 4 4 4
direct
0.097 0.187 0.000
0.403 0.187 0.500
0.597 0.813 0.000
0.903 0.813 0.500
0.055 0.332 0.489
0.445 0.332 0.989
0.555 0.668 0.489
0.945 0.668 0.989
0.125 0.032 0.348
0.375 0.032 0.848
0.625 0.968 0.348
0.875 0.968 0.848
0.079 0.752 0.326
0.421 0.752 0.826
0.579 0.248 0.326
0.921 0.248 0.826

---

No. 4
BeTePtO (PBE, optimized geometry); polymorph energy (0 for the lowest one) = 0.3191 eV/atom
1.0
6.033 0.000 0.000
0.000 13.372 0.000
0.000 0.000 7.579
Be Te Pt O
8 8 8 8
direct
0.001 0.240 0.250
0.001 0.260 0.750
0.499 0.740 0.250
0.499 0.760 0.750
0.501 0.240 0.250
0.501 0.260 0.750
0.999 0.740 0.250
0.999 0.760 0.750
0.000 0.006 0.749
0.000 0.494 0.249
0.000 0.506 0.751
0.000 0.994 0.251
0.500 0.006 0.751
0.500 0.494 0.251
0.500 0.506 0.749
0.500 0.994 0.249
0.249 0.079 0.007
0.249 0.421 0.507
0.251 0.579 0.007
0.251 0.921 0.507
0.749 0.079 0.493
0.749 0.421 0.993
0.751 0.579 0.493
0.751 0.921 0.993
0.249 0.743 0.251
0.249 0.757 0.751
0.251 0.243 0.251
0.251 0.257 0.751
0.749 0.743 0.249
0.749 0.757 0.749
0.751 0.243 0.249
0.751 0.257 0.749

---

No. 5
BeRe2O4 (PBE, optimized geometry); energy = -115.80 eV per cell
1.0
0.000 4.029 4.029
4.029 0.000 4.029
4.029 4.029 0.000
Be Re O
2 4 8
direct
0.125 0.125 0.125
0.875 0.875 0.875
0.000 0.500 0.500
0.500 0.000 0.500
0.500 0.500 0.000
0.500 0.500 0.500
0.216 0.761 0.761
0.239 0.239 0.239
0.239 0.239 0.784
0.239 0.784 0.239
0.761 0.216 0.761
0.761 0.761 0.216
0.761 0.761 0.761
0.784 0.239 0.239

---

No. 6
Be3Zn4Si3SO12 (PBE, optimized geometry); energy = -298.11 eV per cell
1.0
8.117 0.000 0.000
0.000 8.117 0.000
0.000 0.000 8.117
Be Zn Si S O
6 8 6 2 24
direct
0.000 0.250 0.500
0.000 0.750 0.500
0.250 0.500 0.000
0.500 0.000 0.250
0.500 0.000 0.750
0.750 0.500 0.000
0.164 0.164 0.164
0.164 0.836 0.836
0.336 0.336 0.664
0.336 0.664 0.336
0.664 0.336 0.336
0.664 0.664 0.664
0.836 0.164 0.836
0.836 0.836 0.164
0.000 0.500 0.250
0.000 0.500 0.750
0.250 0.000 0.500
0.500 0.250 0.000
0.500 0.750 0.000
0.750 0.000 0.500
0.000 0.000 0.000
0.500 0.500 0.500
0.094 0.362 0.637
0.094 0.638 0.363
0.137 0.138 0.406
0.137 0.862 0.594
0.138 0.406 0.137
0.138 0.594 0.863
0.362 0.363 0.906
0.362 0.637 0.094
0.363 0.094 0.638
0.363 0.906 0.362
0.406 0.137 0.138
0.406 0.863 0.862
0.594 0.137 0.862
0.594 0.863 0.138
0.637 0.094 0.362
0.637 0.906 0.638
0.638 0.363 0.094
0.638 0.637 0.906
0.862 0.406 0.863
0.862 0.594 0.137
0.863 0.138 0.594
0.863 0.862 0.406
0.906 0.362 0.363
0.906 0.638 0.637

---

No. 7
BeZnSeO (PBE, optimized geometry); polymorph energy (0 for the lowest one) = 0.9422 eV/atom
1.0
3.696 0.000 0.000
0.000 3.696 0.000
0.000 0.000 9.247
Be Zn Se O
2 2 2 2
direct
0.250 0.250 0.094
0.750 0.750 0.906
0.250 0.250 0.571
0.750 0.750 0.429
0.250 0.250 0.857
0.750 0.750 0.143
0.250 0.750 0.500
0.750 0.250 0.500

---

No. 8
BeZnSeO (PBE, optimized geometry); polymorph energy (0 for the lowest one) = 0.1566 eV/atom
1.0
5.308 0.000 0.000
0.000 7.749 0.000
0.000 0.000 12.701
Be Zn Se O
8 8 8 8
direct
0.090 0.207 0.213
0.090 0.293 0.713
0.410 0.707 0.213
0.410 0.793 0.713
0.590 0.207 0.287
0.590 0.293 0.787
0.910 0.707 0.287
0.910 0.793 0.787
0.190 0.184 0.440
0.190 0.316 0.940
0.310 0.684 0.440
0.310 0.816 0.940
0.690 0.184 0.060
0.690 0.316 0.560
0.810 0.684 0.060
0.810 0.816 0.560
0.247 0.584 0.067
0.247 0.916 0.567
0.253 0.084 0.067
0.253 0.416 0.567
0.747 0.584 0.433
0.747 0.916 0.933
0.753 0.084 0.433
0.753 0.416 0.933
0.196 0.730 0.293
0.196 0.770 0.793
0.304 0.230 0.293
0.304 0.270 0.793
0.696 0.730 0.207
0.696 0.770 0.707
0.804 0.230 0.207
0.804 0.270 0.707

---

No. 9
BeZnSeO (PBE, optimized geometry); polymorph energy (0 for the lowest one) = 0.2771 eV/atom
1.0
5.946 0.000 0.000
0.000 6.655 0.000
0.000 0.000 5.719
Be Zn Se O
4 4 4 4
direct
0.047 0.171 0.000
0.453 0.171 0.500
0.547 0.829 0.000
0.953 0.829 0.500
0.109 0.609 0.922
0.391 0.609 0.422
0.609 0.391 0.922
0.891 0.391 0.422
0.096 0.128 0.618
0.404 0.128 0.118
0.596 0.872 0.618
0.904 0.872 0.118
0.075 0.626 0.565
0.425 0.626 0.065
0.575 0.374 0.565
0.925 0.374 0.065

---

| no. | volume (Å³/cell) |
| --- | --- |
| 1 | 152.1 |
| 2 | 146.7 |
| 3 | 271.1 |
| 4 | 611.4 |
| 5 | 130.8 |
| 6 | 534.8 |
| 7 | 126.3 |
| 8 | 522.4 |
| 9 | 226.3 |